## ZrSc2Si2 (PBEsol)

Data for a geometry-optimized ZrSc2Si2 structure.

Cell lengths 3.681, 7.079, 7.079 Å; angles 90.00, 90.00, 90.00 degrees
Fractional coordinates of all 10 atoms:
1 Sc 0.500 0.175 0.675
2 Sc 0.500 0.675 0.825
3 Sc 0.500 0.825 0.325
4 Sc 0.500 0.325 0.175
5 Si 0.000 0.377 0.877
6 Si 0.000 0.877 0.623
7 Si 0.000 0.623 0.123
8 Si 0.000 0.123 0.377
9 Zr 0.000 0.000 0.000
10 Zr 0.000 0.500 0.500

Properties
Density ... 4273 kg/m³
VASP energy ... -7.5362 eV/atom
Crystal system ... tetragonal
Formation energy without anion corrections ... -777.6 meV per atom
Calculated volume ... 18.4 A^3/atom

## PrZr3F15 (PBEsol)

Data for a geometry-optimized PrZr3F15 structure.

Cell lengths 6.167, 7.390, 7.390 Å; angles 112.58, 106.15, 106.15 degrees
Fractional coordinates of all 19 atoms:
1 Pr 0.506 0.000 0.000
2 Zr 0.714 0.569 0.569
3 Zr 0.145 0.431 0.000
4 Zr 0.145 0.000 0.431
5 F 0.073 0.670 0.215
6 F 0.858 0.785 0.455
7 F 0.403 0.545 0.330
8 F 0.403 0.330 0.545
9 F 0.404 0.000 0.661
10 F 0.404 0.661 0.000
11 F 0.743 0.339 0.339
12 F 0.863 0.000 0.223
13 F 0.863 0.223 0.000
14 F 0.640 0.777 0.777
15 F 0.318 0.000 0.236
16 F 0.318 0.236 0.000
17 F 0.082 0.764 0.764
18 F 0.073 0.215 0.670
19 F 0.858 0.455 0.785

Properties
Density ... 4317 kg/m³
VASP energy ... -7.0657 eV/atom
Crystal system ... trigonal
Formation energy without anion corrections ... -3836.0 meV per atom
Calculated volume ... 14.2 A^3/atom

## SrYTc2 (PBEsol)

Data for a geometry-optimized SrYTc2 structure.

Cell lengths 2.981, 2.981, 9.459 Å; angles 90.00, 90.00, 108.42 degrees
Fractional coordinates of all 4 atoms:
1 Sr 0.500 0.500 0.000
2 Tc 0.000 0.000 0.266
3 Tc 0.000 0.000 0.734
4 Y 0.500 0.500 0.500

Properties
Density ... 7754 kg/m³
VASP energy ... -6.9818 eV/atom
Crystal system ... orthorhombic
Energy of formation from the pure elements ... 3.27 eV/f.u.
Calculated volume ... 19.9 A^3/atom

## TlIn3 (PBEsol)

Data for a geometry-optimized TlIn3 structure.

Cell lengths 3.677, 5.262, 6.294 Å; angles 114.71, 106.98, 90.00 degrees
Fractional coordinates of all 4 atoms:
1 Tl 0.000 0.500 0.000
2 In 0.756 0.756 0.512
3 In 0.500 0.000 0.000
4 In 0.244 0.244 0.488

Properties
Density ... 8700 kg/m³
VASP energy ... -2.8758 eV/atom
Crystal system ... orthorhombic
Energy of formation from the pure elements ... 0.08 eV/f.u.
Calculated volume ... 26.2 A^3/atom

## SrPb3N (PBEsol)

Data for a geometry-optimized SrPb3N structure.

Cell lengths 5.088, 5.088, 5.088 Å; angles 90.00, 90.00, 90.00 degrees
Each line ends with the local moment (μB).
Fractional coordinates of all 5 atoms:
1 Pb 0.000 0.500 0.000  0.00
2 Pb 0.000 0.000 0.500  0.00
3 Pb 0.500 0.000 0.000  0.00
4 Sr 0.500 0.500 0.500  0.01
5 N 0.000 0.000 0.000  0.30

Properties
Density ... 9116 kg/m³
VASP energy ... -4.2362 eV/atom
Crystal system ... cubic
Formation energy without anion corrections ... 236.4 meV per atom
Calculated volume ... 26.3 A^3/atom

## ZnNiOs2 (PBEsol)

Data for a geometry-optimized ZnNiOs2 structure.

Cell lengths 2.614, 4.655, 5.084 Å; angles 116.22, 103.23, 93.54 degrees
Fractional coordinates of all 4 atoms:
1 Ni 0.500 0.000 0.000
2 Os 0.500 0.500 0.500
3 Os 0.000 0.000 0.500
4 Zn 0.000 0.500 0.000

Properties
Density ... 15786 kg/m³
VASP energy ... -7.6845 eV/atom
Crystal system ... monoclinic
Energy of formation from the pure elements ... 1.43 eV/f.u.
Calculated volume ... 13.3 A^3/atom

Repeat the sixth record exactly.
## ZnNiOs2 (PBEsol)

Data for a geometry-optimized ZnNiOs2 structure.

Cell lengths 2.614, 4.655, 5.084 Å; angles 116.22, 103.23, 93.54 degrees
Fractional coordinates of all 4 atoms:
1 Ni 0.500 0.000 0.000
2 Os 0.500 0.500 0.500
3 Os 0.000 0.000 0.500
4 Zn 0.000 0.500 0.000

Properties
Density ... 15786 kg/m³
VASP energy ... -7.6845 eV/atom
Crystal system ... monoclinic
Energy of formation from the pure elements ... 1.43 eV/f.u.
Calculated volume ... 13.3 A^3/atom

Question: Among the records above, which one has the highest density?
Answer: ZnNiOs2

Question: What is the formula in the first record?
Answer: ZrSc2Si2